1.
Material: CdIn2Hg
Method: DFT, GGA-PBE
State: relaxed

Summary:
D(E_F) in states/eV/cell: 7.02
Energy of formation from the pure elements in eV/atom: 0.05

```
data_CdIn2Hg
_cell_length_a 4.430
_cell_length_b 4.430
_cell_length_c 21.808
_cell_angle_alpha 90.00
_cell_angle_beta 90.00
_cell_angle_gamma 90.00
_space_group_name_H-M_alt 'I -4 2 d'
_space_group_IT_number 122
_space_group_name_Hall 'I -4 2bw'
loop_
_atom_site_label
_atom_site_fract_x
_atom_site_fract_y
_atom_site_fract_z
Cd1 0.000 0.000 0.000
In1 0.250 0.250 0.125
Hg1 0.000 0.000 0.500
```

---

2.
Material: Cd8In2Hg3
Method: DFT, GGA-PBE
State: relaxed

Summary:
D(E_F) in states/eV/cell: 9.66
Energy of formation from the pure elements in eV/atom: 0.07

```
data_Cd8In2Hg3
_cell_length_a 15.371
_cell_length_b 7.999
_cell_length_c 5.914
_cell_angle_alpha 90.00
_cell_angle_beta 110.28
_cell_angle_gamma 90.00
_space_group_name_H-M_alt 'C 1 2/m 1'
_space_group_IT_number 12
loop_
_space_group_symop_operation_xyz
'x,y,z'
'-x,-y,-z'
'-x,y,-z'
'x,-y,z'
'x+1/2,y+1/2,z'
'-x+1/2,-y+1/2,-z'
'-x+1/2,y+1/2,-z'
'x+1/2,-y+1/2,z'
loop_
_atom_site_label
_atom_site_fract_x
_atom_site_fract_y
_atom_site_fract_z
Cd1 0.157 0.185 0.451
Cd2 0.161 0.000 0.988
Cd3 0.176 0.500 0.182
In1 0.105 0.500 0.651
Hg1 0.000 0.000 0.500
Hg2 0.000 0.268 0.000
```

---

3.
Material: Cd3In5Hg3
Method: DFT, GGA-PBE
State: relaxed

Summary:
D(E_F) in states/eV/cell: 7.86
Energy of formation from the pure elements in eV/atom: 0.09

```
data_Cd3In5Hg3
_cell_length_a 10.2499
_cell_length_b 10.2499
_cell_length_c 3.3131
_cell_angle_alpha 90.00
_cell_angle_beta 90.00
_cell_angle_gamma 120.00
_space_group_name_H-M_alt 'P -6 2 m'
_space_group_IT_number 189
_space_group_name_Hall 'P -6 -2'
loop_
_atom_site_label
_atom_site_fract_x
_atom_site_fract_y
_atom_site_fract_z
Cd1 0.0000 0.5862 0.0000
In1 0.0000 0.3024 0.0000
In2 0.3333 0.6667 0.0000
Hg1 0.0000 0.8246 0.5000
```

---

4.
Material: Cd12In2Hg5
Method: DFT, GGA-PBE
State: relaxed

Summary:
D(E_F) in states/eV/cell: 11.42
Energy of formation from the pure elements in eV/atom: 0.02

```
data_Cd12In2Hg5
_cell_length_a 26.471
_cell_length_b 6.429
_cell_length_c 5.401
_cell_angle_alpha 90.00
_cell_angle_beta 90.79
_cell_angle_gamma 90.00
_space_group_name_H-M_alt 'C 1 2/m 1'
_space_group_IT_number 12
loop_
_space_group_symop_operation_xyz
'x,y,z'
'-x,-y,-z'
'-x,y,-z'
'x,-y,z'
'x+1/2,y+1/2,z'
'-x+1/2,-y+1/2,-z'
'-x+1/2,y+1/2,-z'
'x+1/2,-y+1/2,z'
loop_
_atom_site_label
_atom_site_fract_x
_atom_site_fract_y
_atom_site_fract_z
Cd1 0.094 0.238 0.125
Cd2 0.102 0.000 0.633
Cd3 0.102 0.500 0.638
Cd4 0.200 0.248 0.807
In1 0.000 0.244 0.500
Hg1 0.000 0.500 0.000
Hg2 0.195 0.500 0.299
Hg3 0.200 0.000 0.307
```

---

no.,distance to the lowest polymorph of the same formula (eV per atom)
1,0.041
2,0.019
3,0.024
4,0.000